[1]
DFT (PBE-GGA) results for crystalline SrCa2MgAg4 at its relaxed geometry.

```
data_SrCa2MgAg4
_chemical_formula_sum 'Sr3 Ca6 Mg3 Ag12'
_cell_length_a 5.1810
_cell_length_b 5.1810
_cell_length_c 26.1929
_cell_angle_alpha 90.00
_cell_angle_beta 90.00
_cell_angle_gamma 120.00
_space_group_name_H-M_alt 'R -3 m'
_space_group_IT_number 166
_space_group_name_Hall '-R 3 2"'
loop_
_atom_site_label
_atom_site_type_symbol
_atom_site_fract_x
_atom_site_fract_y
_atom_site_fract_z
_atom_site_occupancy
Sr1 Sr 0.0000 0.0000 0.0000 1
Ca1 Ca 0.0000 0.0000 0.2434 1
Mg1 Mg 0.0000 0.0000 0.5000 1
Ag1 Ag 0.0000 0.0000 0.1274 1
Ag2 Ag 0.0000 0.0000 0.3901 1
```

Computed properties:
DOS at the Fermi energy: 12.8 states/eV/cell
spin magnetization: 0.0 Bohr magnetons per cell
ΔE_f: -250 meV per atom
theoretical density: 5.10 Mg/m³

---

[2]
DFT (PBE-GGA) results for crystalline Tl2CdIn6Hg at its relaxed geometry.

```
data_Tl2CdIn6Hg
_chemical_formula_sum 'Tl4 Cd2 In12 Hg2'
_cell_length_a 7.8766
_cell_length_b 8.9011
_cell_length_c 9.5784
_cell_angle_alpha 90.00
_cell_angle_beta 120.96
_cell_angle_gamma 90.00
_space_group_name_H-M_alt 'P 1 21/c 1'
_space_group_IT_number 14
loop_
_space_group_symop_operation_xyz
'x,y,z'
'-x,-y,-z'
'-x,y+1/2,-z+1/2'
'x,-y+1/2,z+1/2'
loop_
_atom_site_label
_atom_site_type_symbol
_atom_site_fract_x
_atom_site_fract_y
_atom_site_fract_z
_atom_site_occupancy
Tl1 Tl 0.2099 0.0758 0.1474 1
Cd1 Cd 0.0000 0.0000 0.5000 1
In1 In 0.0323 0.7284 0.7292 1
In2 In 0.3405 0.7222 0.1043 1
In3 In 0.3982 0.1366 0.5507 1
Hg1 Hg 0.5000 0.0000 0.0000 1
```

Computed properties:
DOS at the Fermi energy: 7.1 states/eV/cell
spin magnetization: 0.0 Bohr magnetons per cell
ΔE_f: 59 meV per atom
theoretical density: 8.14 Mg/m³

---

[3]
DFT (PBE-GGA) results for crystalline SbTePbO6 at its relaxed geometry.

```
data_SbTePbO6
_chemical_formula_sum 'Sb2 Te2 Pb2 O12'
_cell_length_a 5.4882
_cell_length_b 5.4882
_cell_length_c 10.9021
_cell_angle_alpha 90.00
_cell_angle_beta 90.00
_cell_angle_gamma 120.00
_space_group_name_H-M_alt 'P -3 1 c'
_space_group_IT_number 163
_space_group_name_Hall '-P 3 2c'
loop_
_atom_site_label
_atom_site_type_symbol
_atom_site_fract_x
_atom_site_fract_y
_atom_site_fract_z
_atom_site_occupancy
Sb1 Sb 0.3333 0.6667 0.2500 1
Te1 Te 0.3333 0.6667 0.7500 1
Pb1 Pb 0.0000 0.0000 0.0000 1
O1 O 0.0071 0.3825 0.1463 1
```

Computed properties:
DOS at the Fermi energy: 8.0 states/eV/cell
spin magnetization: 1.2 Bohr magnetons per cell
uncorrected formation energy: -1.165 eV/atom
theoretical density: 6.45 Mg/m³